Entry 1:
Density functional theory data (PBE) for a relaxed La4PtBr5 crystal. Values from VASP.

```
&SYSTEM
  ibrav = 0, nat = 10, ntyp = 3
/
ATOMIC_SPECIES
Br 79.90 Br.upf
La 138.91 La.upf
Pt 195.08 Pt.upf
CELL_PARAMETERS angstrom
9.682 -2.094 0.000
9.682 2.094 0.000
-2.313 0.000 8.629
ATOMIC_POSITIONS crystal
Br 0.828 0.828 0.155
Br 0.167 0.167 0.349
Br 0.500 0.500 0.500
Br 0.833 0.833 0.651
Br 0.172 0.172 0.845
La 0.657 0.657 0.097
La 0.000 0.000 0.221
La 0.000 0.000 0.779
La 0.343 0.343 0.903
Pt 0.500 0.500 0.000
```

---

Entry 2:
Density functional theory data (PBE) for a relaxed LaSmSb crystal. Values from VASP.

```
&SYSTEM
  ibrav = 0, nat = 3, ntyp = 3
/
ATOMIC_SPECIES
La 138.91 La.upf
Sb 121.76 Sb.upf
Sm 150.36 Sm.upf
CELL_PARAMETERS angstrom
2.470 -3.041 -3.527
0.214 -5.219 0.711
-2.783 -3.202 -3.128
ATOMIC_POSITIONS crystal
La 0.250 0.250 0.250
Sb 0.000 0.000 0.000
Sm 0.750 0.750 0.750
```

---

Entry 3:
Density functional theory data (PBE) for a relaxed FeBPb2 crystal. Values from VASP.

```
&SYSTEM
  ibrav = 0, nat = 4, ntyp = 3
/
ATOMIC_SPECIES
B 10.81 B.upf
Fe 55.84 Fe.upf
Pb 207.20 Pb.upf
CELL_PARAMETERS angstrom
4.583 -0.283 1.803
2.192 4.032 1.808
0.772 0.421 4.854
ATOMIC_POSITIONS crystal
B 0.500 0.500 0.500
Fe 0.250 0.250 0.250
Pb 0.000 0.000 0.000
Pb 0.750 0.750 0.750
```

---

Entry 4:
Density functional theory data (PBE) for a relaxed CsHfTe2AuSe crystal. Values from VASP.

```
&SYSTEM
  ibrav = 0, nat = 12, ntyp = 5
/
ATOMIC_SPECIES
Au 196.97 Au.upf
Cs 132.91 Cs.upf
Hf 178.49 Hf.upf
Se 78.96 Se.upf
Te 127.60 Te.upf
CELL_PARAMETERS angstrom
2.083 -8.550 0.000
2.083 8.550 0.000
0.000 0.000 10.665
ATOMIC_POSITIONS crystal
Au 0.542 0.458 0.250
Au 0.458 0.542 0.750
Cs 0.249 0.751 0.250
Cs 0.751 0.249 0.750
Hf 0.000 0.000 0.000
Hf 0.000 0.000 0.500
Se 0.946 0.054 0.250
Se 0.054 0.946 0.750
Te 0.620 0.380 0.029
Te 0.620 0.380 0.471
Te 0.380 0.620 0.529
Te 0.380 0.620 0.971
```

---

Entry 5:
Density functional theory data (PBE) for a relaxed PW3 crystal. Values from VASP.

```
&SYSTEM
  ibrav = 0, nat = 16, ntyp = 2
/
ATOMIC_SPECIES
P 30.97 P.upf
W 183.84 W.upf
CELL_PARAMETERS angstrom
-4.938 4.938 2.430
4.938 -4.938 2.430
4.938 4.938 -2.430
ATOMIC_POSITIONS crystal
P 0.292 0.999 0.291
P 0.001 0.292 0.293
P 0.999 0.708 0.707
P 0.708 0.001 0.709
W 0.174 0.362 0.000
W 0.574 0.974 0.001
W 0.826 0.826 0.188
W 0.854 0.500 0.354
W 0.500 0.854 0.355
W 0.427 0.426 0.400
W 0.026 0.028 0.600
W 0.500 0.146 0.645
W 0.146 0.500 0.646
W 0.638 0.638 0.812
W 0.972 0.573 0.999
W 0.362 0.174 0.000
```

---

Entry 6:
Density functional theory data (PBE) for a relaxed Zr2SnB2 crystal. Values from VASP.

```
&SYSTEM
  ibrav = 0, nat = 5, ntyp = 3
/
ATOMIC_SPECIES
B 10.81 B.upf
Sn 118.71 Sn.upf
Zr 91.22 Zr.upf
CELL_PARAMETERS angstrom
1.567 -7.444 0.000
1.567 7.444 0.000
0.000 0.000 3.383
ATOMIC_POSITIONS crystal
B 0.772 0.228 0.000
B 0.228 0.772 0.000
Sn 0.000 0.000 0.000
Zr 0.653 0.347 0.500
Zr 0.347 0.653 0.500
```

---

Entry 7:
Density functional theory data (PBE) for a relaxed Gd2FeSi2MoC crystal. Values from VASP.

```
&SYSTEM
  ibrav = 0, nat = 7, ntyp = 5
/
ATOMIC_SPECIES
C 12.01 C.upf
Fe 55.84 Fe.upf
Gd 157.25 Gd.upf
Mo 95.94 Mo.upf
Si 28.09 Si.upf
CELL_PARAMETERS angstrom
-3.536 -4.614 -0.264
-2.263 -4.172 3.367
-2.080 6.742 -0.093
ATOMIC_POSITIONS crystal
C 0.013 0.013 0.008
Fe 0.205 0.205 0.087
Gd 0.571 0.571 0.299
Gd 0.432 0.432 0.703
Mo 0.802 0.802 0.916
Si 0.843 0.843 0.301
Si 0.134 0.134 0.685
```

---

Entry 8:
Density functional theory data (PBE) for a relaxed TlZnIn2 crystal. Values from VASP.

```
&SYSTEM
  ibrav = 0, nat = 4, ntyp = 3
/
ATOMIC_SPECIES
In 114.82 In.upf
Tl 204.38 Tl.upf
Zn 65.41 Zn.upf
CELL_PARAMETERS angstrom
-0.317 0.094 5.273
-3.400 3.267 2.385
-4.273 -1.944 2.425
ATOMIC_POSITIONS crystal
In 0.000 0.000 0.000
In 0.750 0.750 0.750
Tl 0.500 0.500 0.500
Zn 0.250 0.250 0.250
```

---

Entry 9:
Density functional theory data (PBE) for a relaxed ErAuSeO crystal. Values from VASP.

```
&SYSTEM
  ibrav = 0, nat = 8, ntyp = 4
/
ATOMIC_SPECIES
Au 196.97 Au.upf
Er 167.26 Er.upf
O 16.00 O.upf
Se 78.96 Se.upf
CELL_PARAMETERS angstrom
0.000 -2.785 -2.792
0.000 -2.785 2.792
-9.645 0.000 0.000
ATOMIC_POSITIONS crystal
Au 0.873 0.127 0.500
Au 0.373 0.627 0.500
Er 0.122 0.378 0.112
Er 0.622 0.878 0.888
O 0.622 0.378 0.000
O 0.122 0.878 0.000
Se 0.623 0.877 0.278
Se 0.123 0.377 0.722
```

## Properties
Energy above the most stable polymorph in this dataset ... 7 kJ/mol of formula units

---

Entry 10:
Density functional theory data (PBE) for a relaxed Lu4Sn2CN crystal. Values from VASP.

```
&SYSTEM
  ibrav = 0, nat = 8, ntyp = 4
/
ATOMIC_SPECIES
C 12.01 C.upf
Lu 174.97 Lu.upf
N 14.01 N.upf
Sn 118.71 Sn.upf
CELL_PARAMETERS angstrom
-3.027 -1.700 -0.345
3.006 -1.770 -0.015
-0.841 -1.556 15.030
ATOMIC_POSITIONS crystal
C 0.000 0.000 0.000
Lu 0.333 0.667 0.085
Lu 0.333 0.667 0.416
Lu 0.667 0.333 0.584
Lu 0.667 0.333 0.915
N 0.000 0.000 0.500
Sn 0.667 0.333 0.253
Sn 0.333 0.667 0.747
```

---

Entry 11:
Density functional theory data (PBE) for a relaxed CsSrFeTe3 crystal. Values from VASP.

```
&SYSTEM
  ibrav = 0, nat = 12, ntyp = 4
/
ATOMIC_SPECIES
Cs 132.91 Cs.upf
Fe 55.84 Fe.upf
Sr 87.62 Sr.upf
Te 127.60 Te.upf
CELL_PARAMETERS angstrom
0.841 3.651 7.926
-4.833 -1.479 -7.164
-4.712 -10.544 5.356
ATOMIC_POSITIONS crystal
Cs 0.261 0.739 0.250
Cs 0.739 0.261 0.750
Fe 0.542 0.458 0.250
Fe 0.458 0.542 0.750
Sr 0.000 0.000 0.000
Sr 0.000 0.000 0.500
Te 0.628 0.372 0.084
Te 0.956 0.044 0.250
Te 0.628 0.372 0.416
Te 0.372 0.628 0.584
Te 0.044 0.956 0.750
Te 0.372 0.628 0.916
```

---

Entry 12:
Density functional theory data (PBE) for a relaxed Y2Co3Si5 crystal. Values from VASP.

```
&SYSTEM
  ibrav = 0, nat = 20, ntyp = 3
/
ATOMIC_SPECIES
Co 58.93 Co.upf
Si 28.09 Si.upf
Y 88.91 Y.upf
CELL_PARAMETERS angstrom
0.000 0.000 5.532
-4.756 5.621 -2.766
-4.756 -5.621 -2.766
ATOMIC_POSITIONS crystal
Co 0.250 0.000 0.000
Co 0.750 0.000 0.000
Co 0.392 0.529 0.254
Co 0.108 0.746 0.471
Co 0.892 0.254 0.529
Co 0.608 0.471 0.746
Si 0.158 0.259 0.057
Si 0.250 0.773 0.227
Si 0.750 0.773 0.227
Si 0.658 0.057 0.259
Si 0.250 0.500 0.500
Si 0.750 0.500 0.500
Si 0.342 0.943 0.741
Si 0.250 0.227 0.773
Si 0.750 0.227 0.773
Si 0.842 0.741 0.943
Y 0.766 0.400 0.132
Y 0.266 0.132 0.400
Y 0.734 0.868 0.600
Y 0.234 0.600 0.868
```

## Properties
Energy above the most stable polymorph in this dataset ... 4 kJ/mol of formula units

---

Entry 13:
Density functional theory data (PBE) for a relaxed Ta4InSiC2 crystal. Values from VASP.

```
&SYSTEM
  ibrav = 0, nat = 8, ntyp = 4
/
ATOMIC_SPECIES
C 12.01 C.upf
In 114.82 In.upf
Si 28.09 Si.upf
Ta 180.95 Ta.upf
CELL_PARAMETERS angstrom
3.187 0.000 0.000
-1.593 2.760 0.000
0.000 0.000 13.477
ATOMIC_POSITIONS crystal
C 0.000 0.000 0.233
C 0.000 0.000 0.767
In 0.333 0.667 0.500
Si 0.667 0.333 0.000
Ta 0.333 0.667 0.142
Ta 0.667 0.333 0.321
Ta 0.667 0.333 0.679
Ta 0.333 0.667 0.858
```

---

Entry 14:
Density functional theory data (PBE) for a relaxed NiGePtW crystal. Values from VASP.

```
&SYSTEM
  ibrav = 0, nat = 4, ntyp = 4
/
ATOMIC_SPECIES
Ge 72.64 Ge.upf
Ni 58.69 Ni.upf
Pt 195.08 Pt.upf
W 183.84 W.upf
CELL_PARAMETERS angstrom
0.000 3.090 3.090
3.090 0.000 3.090
3.090 3.090 0.000
ATOMIC_POSITIONS crystal
Ge 0.000 0.000 0.000
Ni 0.750 0.750 0.750
Pt 0.250 0.250 0.250
W 0.500 0.500 0.500
```

---

Entry 15:
Density functional theory data (PBE) for a relaxed YTaAs2 crystal. Values from VASP.

```
&SYSTEM
  ibrav = 0, nat = 4, ntyp = 3
/
ATOMIC_SPECIES
As 74.92 As.upf
Ta 180.95 Ta.upf
Y 88.91 Y.upf
CELL_PARAMETERS angstrom
0.000 3.414 3.414
3.414 0.000 3.414
3.414 3.414 0.000
ATOMIC_POSITIONS crystal
As 0.000 0.000 0.000
As 0.750 0.750 0.750
Ta 0.500 0.500 0.500
Y 0.250 0.250 0.250
```

---

Entry 16:
Density functional theory data (PBE) for a relaxed Nd2DyPd3Pb3 crystal. Values from VASP.

```
&SYSTEM
  ibrav = 0, nat = 9, ntyp = 4
/
ATOMIC_SPECIES
Dy 162.50 Dy.upf
Nd 144.24 Nd.upf
Pb 207.20 Pb.upf
Pd 106.42 Pd.upf
CELL_PARAMETERS angstrom
3.973 0.000 0.000
0.000 6.826 3.959
0.000 -6.826 3.959
ATOMIC_POSITIONS crystal
Dy 0.000 0.598 0.598
Nd 0.000 0.404 0.000
Nd 0.000 0.000 0.404
Pb 0.500 0.264 0.264
Pb 0.500 0.998 0.736
Pb 0.500 0.736 0.998
Pd 0.500 0.665 0.339
Pd 0.500 0.339 0.665
Pd 0.000 0.996 0.996
```

---

Entry 17:
Density functional theory data (PBE) for a relaxed NpPd crystal. Values from VASP.

```
&SYSTEM
  ibrav = 0, nat = 2, ntyp = 2
/
ATOMIC_SPECIES
Np 237.00 Np.upf
Pd 106.42 Pd.upf
CELL_PARAMETERS angstrom
0.000 3.170 3.170
3.170 0.000 3.170
3.170 3.170 0.000
ATOMIC_POSITIONS crystal
Np 0.000 0.000 0.000
Pd 0.250 0.250 0.250
```

---

Entry 18:
Density functional theory data (PBE) for a relaxed LuReAu crystal. Values from VASP.

```
&SYSTEM
  ibrav = 0, nat = 3, ntyp = 3
/
ATOMIC_SPECIES
Au 196.97 Au.upf
Lu 174.97 Lu.upf
Re 186.21 Re.upf
CELL_PARAMETERS angstrom
0.000 3.222 3.222
3.222 0.000 3.222
3.222 3.222 0.000
ATOMIC_POSITIONS crystal
Au 0.000 0.000 0.000
Lu 0.250 0.250 0.250
Re 0.750 0.750 0.750
```

## Properties
Energy above the most stable polymorph in this dataset ... 0 kJ/mol of formula units

---

Entry 19:
Density functional theory data (PBE) for a relaxed SmDyTlPd2 crystal. Values from VASP.

```
&SYSTEM
  ibrav = 0, nat = 5, ntyp = 4
/
ATOMIC_SPECIES
Dy 162.50 Dy.upf
Pd 106.42 Pd.upf
Sm 150.36 Sm.upf
Tl 204.38 Tl.upf
CELL_PARAMETERS angstrom
3.700 0.000 0.000
0.000 2.080 7.571
0.000 -2.080 7.571
ATOMIC_POSITIONS crystal
Dy 0.500 0.365 0.365
Pd 0.000 0.192 0.192
Pd 0.000 0.810 0.810
Sm 0.500 0.633 0.633
Tl 0.000 0.999 0.999
```

---

Entry 20:
Density functional theory data (PBE) for a relaxed Li2LaScSn2Pd2 crystal. Values from VASP.

```
&SYSTEM
  ibrav = 0, nat = 8, ntyp = 5
/
ATOMIC_SPECIES
La 138.91 La.upf
Li 6.94 Li.upf
Pd 106.42 Pd.upf
Sc 44.96 Sc.upf
Sn 118.71 Sn.upf
CELL_PARAMETERS angstrom
-3.441 -0.274 -3.300
-0.343 -4.704 0.748
-4.687 1.104 4.796
ATOMIC_POSITIONS crystal
La 0.000 0.000 0.000
Li 0.500 0.000 0.273
Li 0.000 0.500 0.727
Pd 0.000 0.500 0.275
Pd 0.500 0.000 0.725
Sc 0.500 0.500 0.500
Sn 0.500 0.500 0.000
Sn 0.000 0.000 0.500
```

---

Entry 21:
Density functional theory data (PBE) for a relaxed HfAl2 crystal. Values from VASP.

```
&SYSTEM
  ibrav = 0, nat = 12, ntyp = 2
/
ATOMIC_SPECIES
Al 26.98 Al.upf
Hf 178.49 Hf.upf
CELL_PARAMETERS angstrom
-0.752 -4.796 1.998
3.913 0.845 -3.396
5.319 1.918 6.606
ATOMIC_POSITIONS crystal
Al 0.000 0.000 0.000
Al 0.342 0.171 0.250
Al 0.829 0.171 0.250
Al 0.829 0.658 0.250
Al 0.000 0.000 0.500
Al 0.171 0.342 0.750
Al 0.171 0.829 0.750
Al 0.658 0.829 0.750
Hf 0.333 0.667 0.064
Hf 0.333 0.667 0.436
Hf 0.667 0.333 0.564
Hf 0.667 0.333 0.936
```

---

Entry 22:
Density functional theory data (PBE) for a relaxed NdS crystal. Values from VASP.

```
&SYSTEM
  ibrav = 0, nat = 2, ntyp = 2
/
ATOMIC_SPECIES
Nd 144.24 Nd.upf
S 32.06 S.upf
CELL_PARAMETERS angstrom
3.881 0.000 0.000
-1.941 3.361 0.000
0.000 0.000 3.729
ATOMIC_POSITIONS crystal
Nd 0.667 0.333 0.750
S 0.333 0.667 0.250
```

## Properties
Energy above the most stable polymorph in this dataset ... 32 kJ/mol of formula units

---

Entry 23:
Density functional theory data (PBE) for a relaxed SmMg4Pt2 crystal. Values from VASP.

```
&SYSTEM
  ibrav = 0, nat = 7, ntyp = 3
/
ATOMIC_SPECIES
Mg 24.30 Mg.upf
Pt 195.08 Pt.upf
Sm 150.36 Sm.upf
CELL_PARAMETERS angstrom
4.422 -5.196 0.000
4.422 5.196 0.000
0.000 0.000 3.041
ATOMIC_POSITIONS crystal
Mg 0.796 0.204 0.000
Mg 0.204 0.796 0.000
Mg 0.177 0.177 0.500
Mg 0.823 0.823 0.500
Pt 0.500 0.000 0.500
Pt 0.000 0.500 0.500
Sm 0.500 0.500 0.000
```

---

Entry 24:
Density functional theory data (PBE) for a relaxed ZrNbCoSb crystal. Values from VASP.

```
&SYSTEM
  ibrav = 0, nat = 4, ntyp = 4
/
ATOMIC_SPECIES
Co 58.93 Co.upf
Nb 92.91 Nb.upf
Sb 121.76 Sb.upf
Zr 91.22 Zr.upf
CELL_PARAMETERS angstrom
0.000 3.285 3.285
3.285 0.000 3.285
3.285 3.285 0.000
ATOMIC_POSITIONS crystal
Co 0.750 0.750 0.750
Nb 0.250 0.250 0.250
Sb 0.000 0.000 0.000
Zr 0.500 0.500 0.500
```

## Properties
Energy above the most stable polymorph in this dataset ... 0 kJ/mol of formula units

---

Entry 25:
Density functional theory data (PBE) for a relaxed HfSiPd crystal. Values from VASP.

```
&SYSTEM
  ibrav = 0, nat = 9, ntyp = 3
/
ATOMIC_SPECIES
Hf 178.49 Hf.upf
Pd 106.42 Pd.upf
Si 28.09 Si.upf
CELL_PARAMETERS angstrom
-2.699 5.419 -2.738
3.201 -4.404 -3.809
-3.355 -1.954 -0.560
ATOMIC_POSITIONS crystal
Hf 0.591 0.000 0.000
Hf 0.409 0.409 0.000
Hf 0.000 0.591 0.000
Pd 0.000 0.000 0.000
Pd 0.667 0.333 0.500
Pd 0.333 0.667 0.500
Si 0.259 0.000 0.500
Si 0.000 0.259 0.500
Si 0.741 0.741 0.500
```

---

| no. | final energy (eV per atom) |
| --- | --- |
| 1 | -5.04 |
| 2 | -5.25 |
| 3 | -4.20 |
| 4 | -4.77 |
| 5 | -11.20 |
| 6 | -7.54 |
| 7 | -7.51 |
| 8 | -2.15 |
| 9 | -5.97 |
| 10 | -6.37 |
| 11 | -4.18 |
| 12 | -6.91 |
| 13 | -9.70 |
| 14 | -7.04 |
| 15 | -6.69 |
| 16 | -5.25 |
| 17 | -8.24 |
| 18 | -6.15 |
| 19 | -5.16 |
| 20 | -4.93 |
| 21 | -6.26 |
| 22 | -6.31 |
| 23 | -3.68 |
| 24 | -7.39 |
| 25 | -7.55 |